An optimized crystal structure of Pr2Nd5DyTh, computed with PBE.

Cell: 5.746 20.792 10.673 Å, 90.00 90.00 90.00°
Space group Cmc2_1 (No. 36)
One atom of each set of equivalent atoms:
1 Pr 0.000 0.115 0.000
2 Pr 0.000 0.115 0.421
3 Nd 0.000 0.015 0.705
4 Nd 0.000 0.275 0.003
5 Nd 0.000 0.294 0.392
6 Nd 0.000 0.384 0.711
7 Nd 0.000 0.483 0.432
8 Dy 0.000 0.404 0.148
9 Th 0.000 0.199 0.699

Output
ΔE_f	1.3	eV per formula unit
VASP energy	-4.9013	eV/atom